DFT (PBE with a Hubbard U) results for CrCuSeF2 after structural relaxation.

Lattice parameters (Å, degrees): 4.159 5.235 4.159 90.00 90.00 90.00
Each line ends with the local moment (μB).
Atoms (fractional coordinates):
Cr 0.000 0.500 0.000  4.10
Cu 0.500 0.500 0.500  -0.04
Se 0.000 0.000 0.000  -0.19
F 0.000 0.000 0.500  0.02
F 0.500 0.000 0.000  0.01

total magnetization	4.2	Bohr magnetons per cell
DFT total energy	-0.1459	Ha/atom
crystal system	tetragonal